Entry 1:
The following is a DFT calculation (PBE) of a relaxed structure of TaTePt2.

- Fermi-level density of states: 0.491 states/eV/atom
- Electronic total energy: -0.5073 Ry per atom
- Magnetic moment: 0.00 μB per atom
- Theoretical density: 14.985 Mg/m³
- Formation energy (no corrections): -0.133 eV per atom

Structure (POSCAR):
```
TaTePt2
1.0
-3.4123 2.3978 2.5517
-4.0079 -1.1389 2.5581
1.9793 -0.3254 4.3749
Pt Ta Te
2 1 1
Cartesian
1.6791 -0.2751 4.2587
-4.2106 0.7220 7.1182
-2.4916 0.4284 4.8826
-1.1589 0.1994 2.3424
```

=====

Entry 2:
The following is a DFT calculation (PBE) of a relaxed structure of TaTe3Pt.

- Fermi-level density of states: 2.387 states/eV/atom
- Electronic total energy: -0.3433 Ry per atom
- E above lowest polymorph: 0.000 eV/atom
- Magnetic moment: 0.00 μB per atom
- Theoretical density: 8.417 Mg/m³
- Formation energy (no corrections): 0.793 eV per atom

Structure (POSCAR):
```
TaTe3Pt
1.0
5.3098 0.0000 0.0000
0.0000 5.3098 0.0000
0.0000 0.0000 5.3098
Te Pt Ta
3 1 1
Cartesian
0.0000 2.6549 0.0000
0.0000 0.0000 2.6549
2.6549 0.0000 0.0000
2.6549 2.6549 2.6549
0.0000 0.0000 0.0000
```

=====

Entry 3:
The following is a DFT calculation (PBE) of a relaxed structure of TaTePt2.

- Fermi-level density of states: 0.632 states/eV/atom
- Electronic total energy: -0.5140 Ry per atom
- Magnetic moment: 0.00 μB per atom
- Theoretical density: 13.960 Mg/m³
- Formation energy (no corrections): -0.224 eV per atom

Structure (POSCAR):
```
TaTePt2
1.0
-1.6138 -4.4475 -6.2997
1.8814 -4.9093 -5.8677
-0.4135 -6.8120 -3.9365
Pt Ta Te
2 1 1
Cartesian
-0.1443 -15.9869 -15.9227
-0.0746 -8.2662 -8.2331
-0.0365 -4.0422 -4.0260
-0.1094 -12.1266 -12.0779
```

=====

Entry 4:
The following is a DFT calculation (PBE) of a relaxed structure of TaTePt2.

- Fermi-level density of states: 0.727 states/eV/atom
- Electronic total energy: -0.4905 Ry per atom
- Magnetic moment: 0.00 μB per atom
- Theoretical density: 15.770 Mg/m³
- Formation energy (no corrections): 0.096 eV per atom

Structure (POSCAR):
```
TaTePt2
1.0
-8.7880 1.6169 3.6012
-7.6873 -0.0834 5.8061
-7.1558 2.8630 5.7800
Pt Ta Te
2 1 1
Cartesian
-23.5430 4.3801 15.1306
-5.8376 1.0861 3.7517
-11.9454 2.2224 7.6771
-17.7516 3.3027 11.4086
```

=====

Q: The highest theoretical density belongs to which entry?
A: number 4